No. 1
La4PdS7 | GGA-PBE | relaxed

The space group is C2/m (No. 12) and the conventional cell measures 15.4833, 4.7213 and 10.8377 Å, with angles of 90.00, 131.25 and 90.00 degrees. The distinct sites, in fractional coordinates, are La at (0.0869, 0.0000, 0.2803), La at (0.2267, 0.0000, 0.8296), Pd at (0.0000, 0.5000, 0.5000), S at (0.0000, 0.0000, 0.5000), S at (0.0734, 0.5000, 0.7734), S at (0.1359, 0.0000, 0.0564) and S at (0.2167, 0.5000, 0.3628).

The crystal system is monoclinic. As for the total energy: -6.30 eV per atom.

No. 2
Sc2PdPt | GGA-PBE | relaxed

The space group is Pmmn (No. 59, origin choice 2) and the conventional cell measures 4.6651, 6.6120 and 4.6654 Å, with angles of 90.00, 90.00 and 90.00 degrees. The distinct sites, in fractional coordinates, are Sc at (0.2500, 0.0000, 0.2490), Pd at (0.2500, 0.2500, 0.7474) and Pt at (0.2500, 0.7500, 0.7486).

The calculated formation energy is -1.09 eV/atom. The crystal system is orthorhombic. Its energy above the most stable polymorph in this dataset is 0 meV per atom. As for the total energy: -7.07 eV per atom.